# 1
VASP calculation (GGA+U) on a relaxed K3NaMo2O8 crystal.

Cell lengths 6.1485, 6.1485, 7.7697 Å; angles 90.00, 90.00, 120.00 degrees
Space group P-3m1 (No. 164)
Unique sites:
K1 0.0000 0.0000 0.0000
K2 0.3333 0.6667 0.6580
Na1 0.0000 0.0000 0.5000
Mo1 0.3333 0.6667 0.2165
O1 0.1756 0.3513 0.3013
O2 0.3333 0.6667 0.9868

Output
M_tot in μB per formula unit: 0.0
Relative energy among the computed polymorphs in eV per formula unit: 0.08



# 2
VASP calculation (GGA+U) on a relaxed K3NaMo2O8 crystal.

Cell lengths 10.6930, 6.1334, 15.5298 Å; angles 90.00, 90.19, 90.00 degrees
Space group C2/c (No. 15)
Unique sites:
K1 0.0000 0.0633 0.2500
K2 0.1712 0.4763 0.5879
Na1 0.0000 0.0000 0.0000
Mo1 0.1608 0.4760 0.8631
O1 0.0787 0.2219 0.8767
O2 0.0795 0.3166 0.4233
O3 0.1686 0.4379 0.2530
O4 0.1853 0.0468 0.0899

Output
M_tot in μB per formula unit: 0.0
Relative energy among the computed polymorphs in eV per formula unit: 0.00



# 3
VASP calculation (GGA+U) on a relaxed K2Na3MoO6 crystal.

Cell lengths 6.2553, 11.1233, 5.7762 Å; angles 90.00, 111.84, 90.00 degrees
Space group C2/m (No. 12)
Unique sites:
K1 0.0000 0.1708 0.0000
Na1 0.0000 0.0000 0.5000
Na2 0.0000 0.3572 0.5000
Mo1 0.0000 0.5000 0.0000
O1 0.1929 0.5000 0.8012
O2 0.1960 0.3761 0.2232

Output
M_tot in μB per formula unit: 1.1
Total energy in eV per atom: -5.093



# 4
VASP calculation (GGA+U) on a relaxed KNaMoO4 crystal.

Cell lengths 6.1547, 6.3580, 7.1738 Å; angles 90.00, 106.81, 90.00 degrees
Space group P2_1/m (No. 11)
Unique sites:
K1 0.2247 0.2500 0.4454
Na1 0.3191 0.2500 0.9793
Mo1 0.2239 0.7500 0.1650
O1 0.0385 0.7500 0.3181
O2 0.0494 0.7500 0.9184
O3 0.4119 0.5250 0.2103

Output
M_tot in μB per formula unit: 0.0
Total energy in eV per atom: -6.016



# 5
VASP calculation (GGA+U) on a relaxed K2NaMoO4 crystal.

Cell lengths 6.1082, 6.1082, 7.9981 Å; angles 90.00, 90.00, 90.00 degrees
Space group I-4 (No. 82)
Unique sites:
K1 0.0000 0.0000 0.0000
K2 0.0000 0.5000 0.2500
Na1 0.0000 0.0000 0.5000
Mo1 0.0000 0.5000 0.7500
O1 0.1658 0.2867 0.6390

Output
M_tot in μB per formula unit: 1.0
Total energy in eV per atom: -5.509



# 6
VASP calculation (GGA+U) on a relaxed K4Na4Mo7WO24 crystal.

Cell lengths 7.9857, 7.9857, 8.0185 Å; angles 90.00, 90.00, 90.00 degrees
Space group P4mm (No. 99)
Unique sites:
K1 0.2491 0.2491 0.0000
Na1 0.2431 0.2431 0.4975
Mo1 0.0000 0.0000 0.2498
Mo2 0.0000 0.5000 0.2517
Mo3 0.0000 0.5000 0.7457
Mo4 0.5000 0.5000 0.2540
Mo5 0.5000 0.5000 0.7488
W1 0.0000 0.0000 0.7456
O1 0.0000 0.0000 0.5061
O2 0.0000 0.0000 0.9862
O3 0.0000 0.2442 0.7423
O4 0.0000 0.2541 0.2546
O5 0.0000 0.5000 0.0089
O6 0.0000 0.5000 0.4934
O7 0.2382 0.5000 0.7460
O8 0.2432 0.5000 0.2557
O9 0.5000 0.5000 0.0147
O10 0.5000 0.5000 0.4903

Output
M_tot in μB per formula unit: 7.8
Total energy in eV per atom: -6.436



# 7
VASP calculation (GGA+U) on a relaxed K4Na4Mo3W5O24 crystal.

Cell lengths 7.9875, 8.0309, 8.0278 Å; angles 90.00, 90.00, 90.00 degrees
Space group Pmm2 (No. 25)
Unique sites:
K1 0.2459 0.2481 0.0000
Na1 0.2336 0.2420 0.4901
Mo1 0.0000 0.0000 0.2490
Mo2 0.0000 0.0000 0.7467
Mo3 0.0000 0.5000 0.2494
W1 0.0000 0.5000 0.7446
W2 0.5000 0.0000 0.2503
W3 0.5000 0.0000 0.7450
W4 0.5000 0.5000 0.2518
W5 0.5000 0.5000 0.7460
O1 0.0000 0.0000 0.4991
O2 0.0000 0.0000 0.9973
O3 0.0000 0.2510 0.2550
O4 0.0000 0.2618 0.7411
O5 0.0000 0.5000 0.5075
O6 0.0000 0.5000 0.9835
O7 0.2552 0.5000 0.7442
O8 0.2581 0.0000 0.7433
O9 0.2581 0.5000 0.2527
O10 0.2620 0.0000 0.2535
O11 0.5000 0.0000 0.5044
O12 0.5000 0.0000 0.9902
O13 0.5000 0.2458 0.7446
O14 0.5000 0.2571 0.2527
O15 0.5000 0.5000 0.0034
O16 0.5000 0.5000 0.4949

Output
M_tot in μB per formula unit: 8.0
Total energy in eV per atom: -6.605



# 8
VASP calculation (GGA+U) on a relaxed K4Na4Mo5W3O24 crystal.

Cell lengths 7.9936, 8.0447, 7.9925 Å; angles 90.00, 90.00, 90.00 degrees
Space group Pmm2 (No. 25)
Unique sites:
K1 0.2480 0.2473 0.0000
Na1 0.2417 0.2432 0.4899
Mo1 0.0000 0.0000 0.2500
Mo2 0.0000 0.0000 0.7449
Mo3 0.0000 0.5000 0.2481
Mo4 0.5000 0.0000 0.2521
Mo5 0.5000 0.0000 0.7476
W1 0.0000 0.5000 0.7437
W2 0.5000 0.5000 0.2511
W3 0.5000 0.5000 0.7454
O1 0.0000 0.0000 0.0061
O2 0.0000 0.0000 0.4939
O3 0.0000 0.2394 0.2541
O4 0.0000 0.2581 0.7413
O5 0.0000 0.5000 0.5001
O6 0.0000 0.5000 0.9906
O7 0.2379 0.0000 0.7446
O8 0.2432 0.5000 0.7429
O9 0.2441 0.0000 0.2553
O10 0.2547 0.5000 0.2519
O11 0.5000 0.0000 0.0132
O12 0.5000 0.0000 0.4888
O13 0.5000 0.2582 0.2543
O14 0.5000 0.2626 0.7444
O15 0.5000 0.5000 0.0061
O16 0.5000 0.5000 0.4923

Output
M_tot in μB per formula unit: 8.0
Total energy in eV per atom: -6.524



# 9
VASP calculation (GGA+U) on a relaxed KNaMoWO6 crystal.

Cell lengths 8.0301, 8.0301, 7.9694 Å; angles 90.00, 90.00, 90.00 degrees
Space group P4mm (No. 99)
Unique sites:
K1 0.2476 0.2476 0.0000
Na1 0.2421 0.2421 0.4847
Mo1 0.0000 0.0000 0.2493
Mo2 0.0000 0.0000 0.7447
Mo3 0.0000 0.5000 0.2476
W1 0.0000 0.5000 0.7430
W2 0.5000 0.5000 0.2529
W3 0.5000 0.5000 0.7469
O1 0.0000 0.0000 0.5082
O2 0.0000 0.0000 0.9829
O3 0.0000 0.2505 0.2532
O4 0.0000 0.2575 0.7409
O5 0.0000 0.5000 0.5026
O6 0.0000 0.5000 0.9873
O7 0.2458 0.5000 0.7427
O8 0.2618 0.5000 0.2523
O9 0.5000 0.5000 0.5030
O10 0.5000 0.5000 0.9924

Output
M_tot in μB per formula unit: 2.0
Total energy in eV per atom: -6.569



# 10
VASP calculation (GGA+U) on a relaxed K4Na4MoW7O24 crystal.

Cell lengths 8.0378, 8.0378, 7.9906 Å; angles 90.00, 90.00, 90.00 degrees
Space group P4mm (No. 99)
Unique sites:
K1 0.2488 0.2488 0.0000
Na1 0.2460 0.2460 0.4980
Mo1 0.0000 0.0000 0.2492
W1 0.0000 0.0000 0.7458
W2 0.0000 0.5000 0.2531
W3 0.0000 0.5000 0.7478
W4 0.5000 0.5000 0.2517
W5 0.5000 0.5000 0.7473
O1 0.0000 0.0000 0.5088
O2 0.0000 0.0000 0.9841
O3 0.0000 0.2571 0.7432
O4 0.0000 0.2628 0.2542
O5 0.0000 0.5000 0.5003
O6 0.0000 0.5000 0.9983
O7 0.2429 0.5000 0.2542
O8 0.2456 0.5000 0.7448
O9 0.5000 0.5000 0.0120
O10 0.5000 0.5000 0.4891

Output
M_tot in μB per formula unit: 6.0
Total energy in eV per atom: -6.657